Density functional theory data (PBEsol) for a geometry-optimized Ir3Se structure.

Values from the calculation:
theoretical density = 18.21 g/cm³
ΔE to the lowest computed polymorph = 0 meV/atom
N(E_F) = 3.11 states/eV/cell
uncorrected formation energy = 312 meV per atom

```
data_Ir3Se
_cell_length_a 2.844
_cell_length_b 4.591
_cell_length_c 5.315
_cell_angle_alpha 115.59
_cell_angle_beta 105.52
_cell_angle_gamma 90.00
_symmetry_space_group_name_H-M 'P 1'
_symmetry_Int_Tables_number 1
_symmetry_space_group_name_Hall 'P 1'
loop_
_atom_site_label
_atom_site_type_symbol
_atom_site_fract_x
_atom_site_fract_y
_atom_site_fract_z
Ir1 Ir 0.221 0.262 0.441
Ir2 Ir 0.779 0.821 0.559
Ir3 Ir 0.500 0.760 0.000
Se1 Se 0.000 0.323 0.000
```